Record 1
A relaxed structure of La2ZnFe. Source: Alexandria, functional PBE-GGA.

Unit cell a=5.6394 b=5.6394 c=5.6394 alpha=133.25 beta=133.25 gamma=68.26
With the nearest neighbours (Å) after each atom.
Positions (direct):
1 Fe 0.7500 0.2500 0.5000  8 La 3.16-3.23, 4 Zn 3.23
2 La 0.0000 0.0000 0.0000  4 Zn 3.16, 4 La 3.23, 4 Fe 3.23
3 La 0.2500 0.7500 0.5000  4 Fe 3.16, 4 La 3.23, 4 Zn 3.23
4 Zn 0.5000 0.5000 0.0000  8 La 3.16-3.23, 4 Fe 3.23

Output
- ΔH_f (0 K): 0.155 eV per atom
- Volume: 23.37 Å³/atom
- Calculated total energy: -4.7426 eV per atom

Record 2
A relaxed structure of LaZn2Fe. Source: Alexandria, functional PBE-GGA.

Unit cell a=5.4373 b=5.4373 c=5.4373 alpha=141.38 beta=127.86 gamma=66.73
With the nearest neighbours (Å) after each atom.
Positions (direct):
1 Fe 0.2500 0.7500 0.5000  4 Zn 2.65
2 La 0.7500 0.2500 0.5000  4 Fe 2.99, 8 Zn 3.08-3.16
3 Zn 0.0355 0.0355 0.0000  2 Fe 2.65
4 Zn 0.4645 0.4645 0.0000  2 Fe 2.65

Output
- ΔH_f (0 K): 0.100 eV per atom
- Volume: 19.51 Å³/atom
- Calculated total energy: -3.8845 eV per atom

Record 3
A relaxed structure of LaZnFe2. Source: Alexandria, functional PBE-GGA.

Unit cell a=4.3392 b=4.3392 c=9.0414 alpha=76.12 beta=76.12 gamma=90.00
With the nearest neighbours (Å) after each atom.
Positions (direct):
1 Zn 0.5000 0.5000 0.0000  4 Fe 2.39
2 Zn 0.2500 0.7500 0.5000  4 Fe 2.39
3 Fe 0.4057 0.1250 0.2500  2 Fe 2.19, 2 Zn 2.39
4 Fe 0.3443 0.6250 0.2500  2 Fe 2.19, 2 Zn 2.39
5 Fe 0.3750 0.5943 0.7500  2 Fe 2.19, 2 Zn 2.39
6 Fe 0.8750 0.6557 0.7500  2 Fe 2.19, 2 Zn 2.39
7 La 0.0000 0.0000 0.0000  4 Zn 3.07, 8 Fe 3.14-3.32
8 La 0.7500 0.2500 0.5000  4 Zn 3.07, 8 Fe 3.14-3.32

Output
- ΔH_f (0 K): 0.416 eV per atom
- Volume: 20.02 Å³/atom
- Calculated total energy: -5.3653 eV per atom

Record 4
A relaxed structure of LaZn2Fe. Source: Alexandria, functional PBE-GGA.

Unit cell a=4.2496 b=4.2496 c=5.8168 alpha=68.40 beta=68.40 gamma=60.16
With the nearest neighbours (Å) after each atom.
Positions (direct):
1 Fe 0.7500 0.7500 0.7500  6 Zn 2.52
2 La 0.2500 0.2500 0.2500  8 Zn 3.20-3.21
3 Zn 0.0470 0.0470 0.8588  3 Fe 2.52, 3 Zn 2.70-2.71
4 Zn 0.4530 0.4530 0.6412  3 Fe 2.52, 3 Zn 2.70-2.71

Output
- ΔH_f (0 K): -0.023 eV per atom
- Volume: 20.62 Å³/atom
- Calculated total energy: -4.0071 eV per atom

Record 5
A relaxed structure of La3ZnFe. Source: Alexandria, functional PBE-GGA.

Unit cell a=5.2550 b=5.2550 c=5.2550 alpha=90.00 beta=90.00 gamma=90.00
With the nearest neighbours (Å) after each atom.
Positions (direct):
1 Zn 0.5000 0.5000 0.5000  12 La 3.72
2 Fe 0.0000 0.0000 0.0000  6 La 2.63
3 La 0.0000 0.5000 0.0000  2 Fe 2.63
4 La 0.0000 0.0000 0.5000  2 Fe 2.63
5 La 0.5000 0.0000 0.0000  2 Fe 2.63

Output
- ΔH_f (0 K): -0.005 eV per atom
- Volume: 29.02 Å³/atom
- Calculated total energy: -4.9093 eV per atom

Record 6
A relaxed structure of La2ZnFe. Source: Alexandria, functional PBE-GGA.

Unit cell a=7.9176 b=7.9176 c=6.3932 alpha=51.74 beta=51.74 gamma=90.00
With the nearest neighbours (Å) after each atom.
Positions (direct):
1 Zn 0.0000 0.0000 0.0000  2 Fe 3.09, 8 La 3.26-3.39
2 Zn 0.7500 0.2500 0.5000  2 Fe 3.09, 8 La 3.26-3.39
3 Fe 0.5000 0.5000 0.0000  4 La 2.59
4 Fe 0.2500 0.7500 0.5000  4 La 2.59
5 La 0.5630 0.1250 0.2500  2 Fe 2.59
6 La 0.1870 0.6250 0.2500  2 Fe 2.59
7 La 0.3750 0.4370 0.7500  2 Fe 2.59
8 La 0.8750 0.8130 0.7500  2 Fe 2.59

Output
- ΔH_f (0 K): 0.234 eV per atom
- Volume: 24.19 Å³/atom
- Calculated total energy: -4.6634 eV per atom

Record 7
A relaxed structure of LaZnFe. Source: Alexandria, functional PBE-GGA.

Unit cell a=4.3342 b=4.3342 c=4.0458 alpha=90.00 beta=90.00 gamma=120.00
With the nearest neighbours (Å) after each atom.
Positions (direct):
1 Fe 0.0000 0.0000 0.8334  3 Zn 2.50
2 La 0.6667 0.3333 0.3333  6 Fe 3.22, 6 Zn 3.22
3 Zn 0.3333 0.6667 0.8333  3 Fe 2.50

Output
- ΔH_f (0 K): 0.046 eV per atom
- Volume: 21.94 Å³/atom
- Calculated total energy: -4.8424 eV per atom

Record 8
A relaxed structure of LaZnFe4. Source: Alexandria, functional PBE-GGA.

Unit cell a=5.0785 b=5.0785 c=5.0785 alpha=60.00 beta=60.00 gamma=60.00
With the nearest neighbours (Å) after each atom.
Positions (direct):
1 La 0.7500 0.7500 0.7500  12 Fe 2.98, 4 Zn 3.11
2 Zn 0.0000 0.0000 0.0000  12 Fe 2.97, 4 La 3.11
3 Fe 0.8793 0.3736 0.3736  6 Fe 2.51-2.57
4 Fe 0.3736 0.3736 0.8793  6 Fe 2.51-2.57
5 Fe 0.3736 0.8793 0.3736  6 Fe 2.51-2.57
6 Fe 0.3736 0.3736 0.3736  6 Fe 2.51-2.57

Output
- ΔH_f (0 K): 0.095 eV per atom
- Volume: 15.44 Å³/atom
- Calculated total energy: -6.5805 eV per atom